# Y4Th

A geometry-optimized Y4Th structure (GGA-PBE, Alexandria via LeMat-Bulk).

Lattice parameters (Å, degrees): 6.204 3.627 14.725 90.00 102.08 90.00
Fractional positions:
Y1 0.067 0.000 0.305
Y2 0.199 0.500 0.896
Y3 0.301 0.000 0.104
Y4 0.433 0.500 0.695
Y5 0.567 0.500 0.305
Y6 0.699 0.000 0.896
Y7 0.801 0.500 0.104
Y8 0.933 0.000 0.695
Th1 0.000 0.500 0.500
Th2 0.500 0.000 0.500

* space-group type: C2/m (12)
* volume: 324.01 Å³/cell
* excess energy over the best structure of this formula in the dataset: 0.0000 eV per atom
* formation energy from the elements: 0.017 eV/atom
* size of the total moment: 0.00 μB/cell